Entry 1:
Tl2CdTe PBE-GGA relaxed; E = -9.11 eV per cell; Fermi-level density of states = 0.328 states/eV per atom; E above lowest polymorph = 0.044 eV per atom; formation energy without anion corrections = -0.3 eV/f.u.
1.0
-2.2749 2.2825 5.7823
2.2749 -2.2825 5.7823
2.2749 2.2825 -5.7823
Tl Cd Te
2 1 1
Direct
0.2460 0.2460 0.0000 Tl
0.7540 0.7540 0.0000 Tl
0.5000 0.0000 0.5000 Cd
0.0000 0.5000 0.5000 Te

---

Entry 2:
TlCdTe2 PBE-GGA relaxed; E = -10.48 eV per cell; Fermi-level density of states = 0.523 states/eV per atom; formation energy without anion corrections = -0.9 eV/f.u.
1.0
4.3770 0.0000 0.0000
-2.1885 3.7906 0.0000
0.0000 0.0000 7.5928
Tl Cd Te
1 1 2
Direct
0.0000 0.0000 0.0000 Tl
0.0000 0.0000 0.5000 Cd
0.3333 0.6667 0.7227 Te
0.6667 0.3333 0.2773 Te

---

Entry 3:
TlCd2Te PBE-GGA relaxed; E = -7.55 eV per cell; Fermi-level density of states = 0.240 states/eV per atom; E above lowest polymorph = 0.014 eV per atom; formation energy without anion corrections = -0.2 eV/f.u.
1.0
4.7401 -2.0927 0.0000
4.7401 2.0927 0.0000
-1.9636 0.0000 5.8311
Tl Cd Te
1 2 1
Direct
0.0000 0.0000 0.0000 Tl
0.2431 0.2431 0.7472 Cd
0.7569 0.7569 0.2528 Cd
0.5000 0.5000 0.5000 Te

---

Entry 4:
Tl3Cd2Te4 PBE-GGA relaxed; E = -24.29 eV per cell; Fermi-level density of states = 0.252 states/eV per atom; formation energy without anion corrections = -2.8 eV/f.u.
1.0
4.5366 0.0000 0.0000
0.0009 8.2338 0.0000
2.2675 3.1534 8.3262
Tl Cd Te
3 2 4
Direct
0.0000 0.0000 0.0000 Tl
0.1235 0.5449 0.7520 Tl
0.8765 0.4551 0.2480 Tl
0.3294 0.0239 0.3403 Cd
0.6706 0.9761 0.6597 Cd
0.2130 0.2080 0.5748 Te
0.4875 0.2822 0.0233 Te
0.5125 0.7178 0.9767 Te
0.7870 0.7920 0.4252 Te